## one
The following is a PBE calculation of a relaxed structure of Sc2BiI, from the Alexandria database.

CIF file:
```
data_Sc2BiI
_symmetry_space_group_name_H-M 'P 1'
_symmetry_Int_Tables_number 1
_symmetry_space_group_name_Hall 'P 1'
_cell_length_a 10.643
_cell_length_b 10.643
_cell_length_c 10.643
_cell_angle_alpha 19.35
_cell_angle_beta 19.35
_cell_angle_gamma 19.35
loop_
_atom_site_label
_atom_site_type_symbol
_atom_site_fract_x
_atom_site_fract_y
_atom_site_fract_z
Sc1 Sc 0.094 0.094 0.094
Sc2 Sc 0.906 0.906 0.906
Bi1 Bi 0.000 0.000 0.000
I1 I 0.500 0.500 0.500
```

The density comes out at 6.107 g/cm³. As for the density of states at the Fermi level: 1.3893 states/eV/atom. Its space group is R-3m (166). As for the total magnetic moment: 0.00 μB per atom.

***

## two
The following is a PBE calculation of a relaxed structure of Sc2BiI, from the Alexandria database.

CIF file:
```
data_Sc2BiI
_symmetry_space_group_name_H-M 'P 1'
_symmetry_Int_Tables_number 1
_symmetry_space_group_name_Hall 'P 1'
_cell_length_a 8.156
_cell_length_b 8.156
_cell_length_c 8.156
_cell_angle_alpha 131.91
_cell_angle_beta 131.91
_cell_angle_gamma 70.37
loop_
_atom_site_label
_atom_site_type_symbol
_atom_site_fract_x
_atom_site_fract_y
_atom_site_fract_z
Sc1 Sc 0.116 0.625 0.991
Sc2 Sc 0.375 0.366 0.491
Sc3 Sc 0.634 0.125 0.009
Sc4 Sc 0.875 0.884 0.509
Bi1 Bi 0.000 0.000 0.000
Bi2 Bi 0.750 0.250 0.500
I1 I 0.250 0.750 0.500
I2 I 0.500 0.500 0.000
```

The density comes out at 4.802 g/cm³. As for the density of states at the Fermi level: 1.0948 states/eV/atom. Its space group is I-42d (122). As for the total magnetic moment: 0.00 μB per atom.

***

## three
The following is a PBE calculation of a relaxed structure of Sc2BiI, from the Alexandria database.

CIF file:
```
data_Sc2BiI
_symmetry_space_group_name_H-M 'P 1'
_symmetry_Int_Tables_number 1
_symmetry_space_group_name_Hall 'P 1'
_cell_length_a 5.255
_cell_length_b 5.255
_cell_length_c 5.255
_cell_angle_alpha 60.00
_cell_angle_beta 60.00
_cell_angle_gamma 60.00
loop_
_atom_site_label
_atom_site_type_symbol
_atom_site_fract_x
_atom_site_fract_y
_atom_site_fract_z
Sc1 Sc 0.250 0.250 0.250
Sc2 Sc 0.750 0.750 0.750
Bi1 Bi 0.000 0.000 0.000
I1 I 0.500 0.500 0.500
```

The density comes out at 6.892 g/cm³. As for the density of states at the Fermi level: 0.5078 states/eV/atom. Its space group is Fm-3m (225). As for the total magnetic moment: 0.40 μB per atom.

***

Least stable: one

***

## one
The following is a PBE calculation of a relaxed structure of Bi2SeI2, from the Alexandria database.

CIF file:
```
data_Bi2SeI2
_symmetry_space_group_name_H-M 'P 1'
_symmetry_Int_Tables_number 1
_symmetry_space_group_name_Hall 'P 1'
_cell_length_a 7.871
_cell_length_b 7.871
_cell_length_c 5.277
_cell_angle_alpha 90.00
_cell_angle_beta 90.00
_cell_angle_gamma 90.00
loop_
_atom_site_label
_atom_site_type_symbol
_atom_site_fract_x
_atom_site_fract_y
_atom_site_fract_z
Bi1 Bi 0.155 0.345 0.000
Bi2 Bi 0.345 0.845 0.000
Bi3 Bi 0.655 0.155 0.000
Bi4 Bi 0.845 0.655 0.000
Se1 Se 0.000 0.000 0.000
Se2 Se 0.500 0.500 0.000
I1 I 0.171 0.671 0.500
I2 I 0.329 0.171 0.500
I3 I 0.671 0.829 0.500
I4 I 0.829 0.329 0.500
```

The density comes out at 7.626 g/cm³. As for the density of states at the Fermi level: 0.5111 states/eV/atom. Its space group is P4/mbm (127). As for the total magnetic moment: 0.00 μB per atom.

***

## two
The following is a PBE calculation of a relaxed structure of Bi2SeI2, from the Alexandria database.

CIF file:
```
data_Bi2SeI2
_symmetry_space_group_name_H-M 'P 1'
_symmetry_Int_Tables_number 1
_symmetry_space_group_name_Hall 'P 1'
_cell_length_a 9.610
_cell_length_b 6.551
_cell_length_c 13.410
_cell_angle_alpha 90.00
_cell_angle_beta 90.00
_cell_angle_gamma 90.00
loop_
_atom_site_label
_atom_site_type_symbol
_atom_site_fract_x
_atom_site_fract_y
_atom_site_fract_z
Bi1 Bi 0.084 0.250 0.231
Bi2 Bi 0.129 0.250 0.555
Bi3 Bi 0.371 0.750 0.055
Bi4 Bi 0.416 0.750 0.731
Bi5 Bi 0.584 0.250 0.269
Bi6 Bi 0.629 0.250 0.945
Bi7 Bi 0.871 0.750 0.445
Bi8 Bi 0.916 0.750 0.769
Se1 Se 0.230 0.750 0.881
Se2 Se 0.270 0.250 0.381
Se3 Se 0.730 0.750 0.619
Se4 Se 0.770 0.250 0.119
I1 I 0.087 0.750 0.210
I2 I 0.168 0.750 0.575
I3 I 0.332 0.250 0.075
I4 I 0.413 0.250 0.710
I5 I 0.587 0.750 0.290
I6 I 0.668 0.750 0.925
I7 I 0.832 0.250 0.425
I8 I 0.913 0.250 0.790
```

The density comes out at 5.907 g/cm³. As for the density of states at the Fermi level: 0.5363 states/eV/atom. Its space group is Pnma (62). As for the total magnetic moment: 0.00 μB per atom.

***

Least stable: one

***

## one
The following is a PBE calculation of a relaxed structure of BiTeSeI2, from the Alexandria database.

CIF file:
```
data_BiTeSeI2
_symmetry_space_group_name_H-M 'P 1'
_symmetry_Int_Tables_number 1
_symmetry_space_group_name_Hall 'P 1'
_cell_length_a 5.652
_cell_length_b 5.652
_cell_length_c 5.614
_cell_angle_alpha 90.00
_cell_angle_beta 90.00
_cell_angle_gamma 90.00
loop_
_atom_site_label
_atom_site_type_symbol
_atom_site_fract_x
_atom_site_fract_y
_atom_site_fract_z
Bi1 Bi 0.000 0.000 0.000
Te1 Te 0.500 0.500 0.000
Se1 Se 0.500 0.500 0.500
I1 I 0.000 0.500 0.500
I2 I 0.500 0.000 0.500
```

The density comes out at 6.197 g/cm³. As for the density of states at the Fermi level: 1.2493 states/eV/atom. Its space group is P4/mmm (123). As for the total magnetic moment: 0.00 μB per atom.

***

## two
The following is a PBE calculation of a relaxed structure of BiTeSeI2, from the Alexandria database.

CIF file:
```
data_BiTeSeI2
_symmetry_space_group_name_H-M 'P 1'
_symmetry_Int_Tables_number 1
_symmetry_space_group_name_Hall 'P 1'
_cell_length_a 6.107
_cell_length_b 6.107
_cell_length_c 6.161
_cell_angle_alpha 90.00
_cell_angle_beta 90.00
_cell_angle_gamma 90.00
loop_
_atom_site_label
_atom_site_type_symbol
_atom_site_fract_x
_atom_site_fract_y
_atom_site_fract_z
Bi1 Bi 0.000 0.000 0.000
Te1 Te 0.000 0.000 0.500
Se1 Se 0.500 0.500 0.500
I1 I 0.000 0.500 0.000
I2 I 0.500 0.000 0.000
```

The density comes out at 4.838 g/cm³. As for the density of states at the Fermi level: 0.8497 states/eV/atom. Its space group is P4/mmm (123). As for the total magnetic moment: 0.61 μB per atom.

***

Least stable: two

***

## one
The following is a PBE calculation of a relaxed structure of SiBiI2, from the Alexandria database.

CIF file:
```
data_SiBiI2
_symmetry_space_group_name_H-M 'P 1'
_symmetry_Int_Tables_number 1
_symmetry_space_group_name_Hall 'P 1'
_cell_length_a 5.508
_cell_length_b 5.508
_cell_length_c 5.508
_cell_angle_alpha 60.00
_cell_angle_beta 60.00
_cell_angle_gamma 60.00
loop_
_atom_site_label
_atom_site_type_symbol
_atom_site_fract_x
_atom_site_fract_y
_atom_site_fract_z
Si1 Si 0.000 0.000 0.000
Bi1 Bi 0.500 0.500 0.500
I1 I 0.250 0.250 0.250
I2 I 0.750 0.750 0.750
```

The density comes out at 6.897 g/cm³. As for the density of states at the Fermi level: 0.9707 states/eV/atom. Its space group is Fm-3m (225). As for the total magnetic moment: 0.00 μB per atom.

***

## two
The following is a PBE calculation of a relaxed structure of SiBiI2, from the Alexandria database.

CIF file:
```
data_SiBiI2
_symmetry_space_group_name_H-M 'P 1'
_symmetry_Int_Tables_number 1
_symmetry_space_group_name_Hall 'P 1'
_cell_length_a 8.502
_cell_length_b 8.502
_cell_length_c 8.502
_cell_angle_alpha 96.18
_cell_angle_beta 96.18
_cell_angle_gamma 141.68
loop_
_atom_site_label
_atom_site_type_symbol
_atom_site_fract_x
_atom_site_fract_y
_atom_site_fract_z
Si1 Si 0.000 0.000 0.000
Si2 Si 0.750 0.250 0.500
Bi1 Bi 0.250 0.750 0.500
Bi2 Bi 0.500 0.500 0.000
I1 I 0.375 0.127 0.252
I2 I 0.873 0.125 0.248
I3 I 0.875 0.123 0.748
I4 I 0.877 0.625 0.752
```

The density comes out at 4.528 g/cm³. As for the density of states at the Fermi level: 0.8038 states/eV/atom. Its space group is I-42d (122). As for the total magnetic moment: 0.00 μB per atom.

***

Least stable: one